# 1
Material: HoSc4
Method: DFT, GGA-PBE
State: optimized geometry

a b c (Å): 4.1854 4.1847 8.3518
angles (deg): 104.51 104.51 90.00
Closest atoms and distances in Å follow each position.
Positions (direct):
Sc 0.2500 0.2500 0.0000  8 Sc 2.96-3.19
Sc 0.0957 0.5957 0.6914  5 Sc 2.99-3.19, 4 Ho 3.32
Sc 0.9043 0.4043 0.3086  5 Sc 2.99-3.19, 4 Ho 3.32
Sc 0.7500 0.7500 0.0000  8 Sc 2.96-3.19
Ho 0.5000 0.0000 0.4999  8 Sc 3.32

Values from the calculation:
space-group type: I4/mmm (139)
distance to the lowest polymorph of the same formula: 287 meV per atom
calculated formation energy: 0.344 eV per atom
spin magnetization: 1.21 μB/cell
Fermi-level density of states: 1.63 states/eV/atom

# 2
Material: NdSm2Ho6
Method: DFT, GGA-PBE
State: optimized geometry

a b c (Å): 5.0341 7.9698 7.9807
angles (deg): 84.25 71.61 71.59
Closest atoms and distances in Å follow each position.
Positions (direct):
Sm 0.6670 0.5001 0.1659  2 Sm 3.56, 2 Nd 3.57, 8 Ho 3.57-3.59
Sm 0.3330 0.4999 0.8341  2 Sm 3.56, 2 Nd 3.57, 8 Ho 3.57-3.59
Nd 0.0000 0.5000 0.5000  4 Sm 3.57, 8 Ho 3.58-3.59
Ho 0.6651 0.8361 0.8337  8 Ho 3.53-3.57, 3 Sm 3.57-3.58, 1 Nd 3.59
Ho 0.3349 0.1639 0.1663  8 Ho 3.53-3.57, 3 Sm 3.57-3.58, 1 Nd 3.59
Ho 0.9988 0.8361 0.1663  8 Ho 3.53-3.57, 3 Sm 3.58, 1 Nd 3.58
Ho 0.3318 0.8364 0.5000  8 Ho 3.53-3.57, 2 Nd 3.58, 2 Sm 3.59
Ho 0.0012 0.1639 0.8337  8 Ho 3.53-3.57, 3 Sm 3.58, 1 Nd 3.58
Ho 0.6682 0.1636 0.5000  8 Ho 3.53-3.57, 2 Nd 3.58, 2 Sm 3.59

Values from the calculation:
space-group type: Fmmm (69)
distance to the lowest polymorph of the same formula: 0 meV per atom
calculated formation energy: 0.021 eV per atom
spin magnetization: 0.00 μB/cell
Fermi-level density of states: 1.47 states/eV/atom

# 3
Material: Fe3NiAs
Method: DFT, GGA-PBE
State: optimized geometry

a b c (Å): 4.3358 4.3358 4.3358
angles (deg): 90.00 90.00 90.00
Closest atoms and distances in Å follow each position.
Positions (direct):
Fe 0.0000 0.5000 0.0000  2 Ni 2.17
Fe 0.5000 0.0000 0.0000  2 Ni 2.17
Fe 0.0000 0.0000 0.5000  2 Ni 2.17
As 0.5000 0.5000 0.5000  12 Fe 3.07
Ni 0.0000 0.0000 0.0000  6 Fe 2.17

Values from the calculation:
space-group type: Pm-3m (221)
distance to the lowest polymorph of the same formula: 0 meV per atom
calculated formation energy: 0.864 eV per atom
spin magnetization: 9.90 μB/cell
Fermi-level density of states: 1.20 states/eV/atom

# 4
Material: Hf2TlRh
Method: DFT, GGA-PBE
State: optimized geometry

a b c (Å): 7.6051 7.6051 6.1786
angles (deg): 52.02 52.02 90.00
Closest atoms and distances in Å follow each position.
Positions (direct):
Tl 0.7500 0.2500 0.5000  2 Rh 3.04, 8 Hf 3.06-3.34
Tl 0.0000 0.0000 0.0000  2 Rh 3.04, 8 Hf 3.06-3.34
Hf 0.8750 0.8268 0.7500  2 Rh 2.56
Hf 0.5768 0.1250 0.2500  2 Rh 2.56
Hf 0.3750 0.4232 0.7500  2 Rh 2.56
Hf 0.1732 0.6250 0.2500  2 Rh 2.56
Rh 0.5000 0.5000 0.0000  4 Hf 2.56
Rh 0.2500 0.7500 0.5000  4 Hf 2.56

Values from the calculation:
space-group type: I-42d (122)
distance to the lowest polymorph of the same formula: 340 meV per atom
calculated formation energy: 0.010 eV per atom
spin magnetization: 0.00 μB/cell
Fermi-level density of states: 0.38 states/eV/atom

no.,calculated density (g cm⁻³)
1,4.19
2,8.26
3,6.14
4,12.54